An optimized crystal structure of TbY5Ho2Th, computed with GGA-PBE.

Results
Formation enthalpy at 0 K: 1.42 eV per formula unit
Total magnetization: 0.00 Bohr magnetons per cell

Cell: 5.736 21.388 9.701 Å, 90.00 90.00 90.00°
Space group Cmc2_1 (No. 36)
Asymmetric unit:
Tb 0.000 0.097 0.000 [4 per cell]
Y 0.000 0.028 0.683 [4 per cell]
Y 0.000 0.110 0.387 [4 per cell]
Y 0.000 0.195 0.716 [4 per cell]
Y 0.000 0.233 0.091 [4 per cell]
Y 0.000 0.486 0.414 [4 per cell]
Ho 0.000 0.370 0.717 [4 per cell]
Ho 0.000 0.388 0.105 [4 per cell]
Th 0.000 0.312 0.404 [4 per cell]

An optimized crystal structure of Sn3BiTe6, computed with GGA-PBE.

Results
Energy relative to the elements, uncorrected: -0.183 eV/atom
Total magnetization: 0.00 Bohr magnetons per cell

Cell: 10.697 4.294 15.645 Å, 90.00 92.88 90.00°
Space group P2_1/m (No. 11)
Asymmetric unit:
Sn 0.117 0.250 0.083 [2 per cell]
Sn 0.131 0.750 0.744 [2 per cell]
Sn 0.381 0.750 0.232 [2 per cell]
Bi 0.348 0.250 0.578 [2 per cell]
Te 0.094 0.750 0.228 [2 per cell]
Te 0.144 0.750 0.554 [2 per cell]
Te 0.160 0.750 0.953 [2 per cell]
Te 0.324 0.250 0.775 [2 per cell]
Te 0.393 0.250 0.099 [2 per cell]
Te 0.423 0.250 0.381 [2 per cell]

An optimized crystal structure of Pm3Er12Tl, computed with GGA-PBE.

Results
Formation enthalpy at 0 K: -0.29 eV per formula unit
Total magnetization: 0.01 Bohr magnetons per cell

Cell: 4.943 4.943 20.053 Å, 90.00 90.00 90.00°
Space group P4/mmm (No. 123)
Asymmetric unit:
Pm 0.000 0.000 0.000 [1 per cell]
Pm 0.000 0.000 0.251 [2 per cell]
Er 0.000 0.500 0.127 [4 per cell]
Er 0.000 0.500 0.379 [4 per cell]
Er 0.500 0.500 0.000 [1 per cell]
Er 0.500 0.500 0.257 [2 per cell]
Er 0.500 0.500 0.500 [1 per cell]
Tl 0.000 0.000 0.500 [1 per cell]